No. 1
Material: BaLa2Rh2
Method: DFT, GGA-PBE
State: optimized geometry

- crystal system = tetragonal
- energy relative to the elements (eV per atom) = -0.38

Unit cell a=5.257 b=5.257 c=6.947 alpha=67.77 beta=67.77 gamma=90.00
Positions (direct):
Rh 0.750 0.250 0.500
Rh 0.250 0.750 0.500
Ba 0.000 0.000 0.000
La 0.326 0.326 0.349
La 0.674 0.674 0.651



No. 2
Material: Y5Te2Ru2
Method: DFT, GGA-PBE
State: optimized geometry

- crystal system = orthorhombic
- calculated total energy (eV per atom) = -7.1441

Unit cell a=7.777 b=7.714 c=8.790 alpha=90.00 beta=63.75 gamma=90.00
Positions (direct):
Y 0.000 0.000 0.000
Y 0.500 0.500 0.000
Y 0.453 0.162 0.765
Y 0.782 0.838 0.765
Y 0.282 0.662 0.765
Y 0.953 0.338 0.765
Y 0.547 0.838 0.235
Y 0.218 0.162 0.235
Y 0.718 0.338 0.235
Y 0.047 0.662 0.235
Te 0.211 0.000 0.578
Te 0.711 0.500 0.578
Te 0.789 0.000 0.422
Te 0.289 0.500 0.422
Ru 0.133 0.370 0.000
Ru 0.867 0.630 0.000
Ru 0.367 0.870 0.000
Ru 0.633 0.130 0.000



No. 3
Material: Hf6GaAs2
Method: DFT, GGA-PBE
State: optimized geometry

- crystal system = monoclinic
- energy relative to the elements (eV per atom) = -0.48

Unit cell a=5.512 b=7.354 c=8.926 alpha=90.00 beta=90.40 gamma=90.00
Positions (direct):
Hf 0.871 0.969 0.216
Hf 0.868 0.663 0.551
Hf 0.891 0.691 0.944
Hf 0.609 0.191 0.556
Hf 0.632 0.163 0.949
Hf 0.629 0.469 0.284
Hf 0.129 0.031 0.784
Hf 0.132 0.337 0.449
Hf 0.109 0.309 0.056
Hf 0.391 0.809 0.444
Hf 0.368 0.837 0.051
Hf 0.371 0.531 0.716
Ga 0.500 0.500 0.000
Ga 0.000 0.000 0.500
As 0.899 0.385 0.756
As 0.601 0.885 0.744
As 0.399 0.115 0.256
As 0.101 0.615 0.244



No. 4
Material: NdHo2V
Method: DFT, GGA-PBE
State: optimized geometry

- crystal system = trigonal
- energy relative to the elements (eV per atom) = 0.62

Unit cell a=3.385 b=3.385 c=11.684 alpha=81.67 beta=81.67 gamma=60.00
Last column: magnetic moment on the atom in μB.
Positions (direct):
Nd 0.500 0.500 0.500  0.00
Ho 0.081 0.081 0.758  0.06
Ho 0.919 0.919 0.242  0.06
V 0.000 0.000 0.000  2.60